Mg2BiTe: relaxed, PBE.

Calculated values
Final energy = -11.730 eV per formula unit
Size of the total moment = 0.00 μB/f.u.
E_form (uncorrected) = -37 kJ/mol of atoms
Excess energy over the best structure of this formula in the dataset = 21.0 kJ/mol of formula units
D(E_F) = 0.1737 states/eV/atom

Lattice parameters (Å, degrees): 4.0675 4.0675 8.1726 75.59 75.59 60.00
Last column: nearest neighbours and their distance in Å.
Sites, in units of the cell vectors:
1 Mg 0.0902 0.0902 0.7294  3 Te 2.94, 3 Bi 3.15
2 Mg 0.2432 0.2432 0.2705  3 Te 2.97, 3 Bi 3.18
3 Bi 0.6677 0.6677 0.9969  6 Mg 3.15-3.18
4 Te 0.4990 0.4990 0.5031  6 Mg 2.94-2.97